Material: BaSc4Al
Method: DFT, PBEsol
State: optimized geometry

Cell: 6.0824 6.0824 6.0824 Å, 60.00 60.00 60.00°
Fractional positions:
Al 0.7500 0.7500 0.7500
Ba 0.0000 0.0000 0.0000
Sc 0.8690 0.3770 0.3770
Sc 0.3770 0.3770 0.3770
Sc 0.3770 0.3770 0.8690
Sc 0.3770 0.8690 0.3770

Computed properties:
Crystal system: cubic
Energy (eV/atom): -5.114
Formation enthalpy at 0 K (eV per formula unit): 1.97